# PBE In4Ag, optimized geometry
# ΔH_f (0 K)   13.12 kJ/mol of atoms
# Energy above the lowest structure with this stoichiometry   94 meV per atom
data_In4Ag
_chemical_formula_sum 'In32 Ag8'
_cell_length_a 10.313
_cell_length_b 10.313
_cell_length_c 10.313
_cell_angle_alpha 90.00
_cell_angle_beta 90.00
_cell_angle_gamma 90.00
_space_group_name_H-M_alt 'I -4 3 m'
_space_group_IT_number 217
_space_group_name_Hall 'I -4 2 3'
loop_
_atom_site_label
_atom_site_fract_x
_atom_site_fract_y
_atom_site_fract_z
In1 0.000 0.000 0.322
In2 0.000 0.250 0.500
In3 0.185 0.185 0.815
Ag1 0.159 0.159 0.159